No. 1
# CdGaIr | Alexandria via LeMat-Bulk | GGA-PBE | relaxed
# E_form	-0.05	eV/atom
# final energy	-4.3143	eV per atom
# calculated volume	17.46	Å³/atom
# total magnetic moment	0.000	μB per formula unit
data_CdGaIr
_chemical_formula_sum 'Cd2 Ga2 Ir2'
_cell_length_a 3.029
_cell_length_b 3.029
_cell_length_c 11.423
_cell_angle_alpha 90.00
_cell_angle_beta 90.00
_cell_angle_gamma 90.00
_symmetry_space_group_name_H-M 'I 4 m m'
_symmetry_Int_Tables_number 107
_symmetry_space_group_name_Hall 'I 4 -2'
loop_
_atom_site_label
_atom_site_type_symbol
_atom_site_fract_x
_atom_site_fract_y
_atom_site_fract_z
Cd1 Cd 0.000 0.000 0.000
Ga1 Ga 0.000 0.000 0.296
Ir1 Ir 0.000 0.000 0.674

***

No. 2
# CaNbNi | Alexandria via LeMat-Bulk | GGA-PBE | relaxed
# E_form	0.31	eV/atom
# final energy	-5.6445	eV per atom
# calculated volume	19.35	Å³/atom
# total magnetic moment	0.028	μB per formula unit
data_CaNbNi
_chemical_formula_sum 'Ca4 Nb4 Ni4'
_cell_length_a 4.302
_cell_length_b 4.309
_cell_length_c 12.527
_cell_angle_alpha 90.00
_cell_angle_beta 90.00
_cell_angle_gamma 90.00
_symmetry_space_group_name_H-M 'C m m m'
_symmetry_Int_Tables_number 65
_symmetry_space_group_name_Hall '-C 2 2'
loop_
_atom_site_label
_atom_site_type_symbol
_atom_site_fract_x
_atom_site_fract_y
_atom_site_fract_z
Ca1 Ca 0.000 0.000 0.153
Nb1 Nb 0.000 0.500 0.373
Ni1 Ni 0.000 0.000 0.500
Ni2 Ni 0.000 0.500 0.000

***

No. 3
# RbFeI2 | Alexandria via LeMat-Bulk | GGA-PBE | relaxed
# final energy	-3.1293	eV per atom
# calculated volume	33.52	Å³/atom
# ΔE to the lowest computed polymorph	433.5	meV per atom
# total magnetic moment	3.131	μB per formula unit
data_RbFeI2
_chemical_formula_sum 'Rb4 Fe4 I8'
_cell_length_a 8.125
_cell_length_b 8.125
_cell_length_c 8.125
_cell_angle_alpha 90.00
_cell_angle_beta 90.00
_cell_angle_gamma 90.00
_symmetry_space_group_name_H-M 'F m -3 m'
_symmetry_Int_Tables_number 225
_symmetry_space_group_name_Hall '-F 4 2 3'
loop_
_atom_site_label
_atom_site_type_symbol
_atom_site_fract_x
_atom_site_fract_y
_atom_site_fract_z
Rb1 Rb 0.000 0.000 0.000
Fe1 Fe 0.000 0.000 0.500
I1 I 0.250 0.250 0.250

***

No. 4
# CsK2Al2 | Alexandria via LeMat-Bulk | GGA-PBE | relaxed
# E_form	0.33	eV/atom
# final energy	-1.7737	eV per atom
# calculated volume	46.22	Å³/atom
# total magnetic moment	0.407	μB per formula unit
data_CsK2Al2
_chemical_formula_sum 'Cs2 K4 Al4'
_cell_length_a 9.924
_cell_length_b 9.924
_cell_length_c 4.693
_cell_angle_alpha 90.00
_cell_angle_beta 90.00
_cell_angle_gamma 90.00
_symmetry_space_group_name_H-M 'P 4/m b m'
_symmetry_Int_Tables_number 127
_symmetry_space_group_name_Hall '-P 4 2ab'
loop_
_atom_site_label
_atom_site_type_symbol
_atom_site_fract_x
_atom_site_fract_y
_atom_site_fract_z
Cs1 Cs 0.000 0.000 0.000
K1 K 0.181 0.319 0.500
Al1 Al 0.091 0.591 0.000

***

No. 5
# Pm2SmTmS5 | Alexandria via LeMat-Bulk | GGA-PBE | relaxed
# final energy	-5.8433	eV per atom
# calculated volume	26.81	Å³/atom
# total magnetic moment	0.000	μB per formula unit
data_Pm2SmTmS5
_chemical_formula_sum 'Pm2 Sm1 Tm1 S5'
_cell_length_a 4.823
_cell_length_b 4.823
_cell_length_c 10.373
_cell_angle_alpha 90.00
_cell_angle_beta 90.00
_cell_angle_gamma 90.00
_symmetry_space_group_name_H-M 'P 4/m m m'
_symmetry_Int_Tables_number 123
_symmetry_space_group_name_Hall '-P 4 2'
loop_
_atom_site_label
_atom_site_type_symbol
_atom_site_fract_x
_atom_site_fract_y
_atom_site_fract_z
Pm1 Pm 0.000 0.000 0.186
Sm1 Sm 0.500 0.500 0.500
Tm1 Tm 0.500 0.500 0.000
S1 S 0.000 0.000 0.500
S2 S 0.000 0.500 0.000
S3 S 0.500 0.500 0.250

***

No. 6
# Tl2PbCl | Alexandria via LeMat-Bulk | GGA-PBE | relaxed
# final energy	-2.8700	eV per atom
# calculated volume	30.42	Å³/atom
# ΔE to the lowest computed polymorph	56.3	meV per atom
# total magnetic moment	0.000	μB per formula unit
data_Tl2PbCl
_chemical_formula_sum 'Tl2 Pb1 Cl1'
_cell_length_a 3.582
_cell_length_b 3.582
_cell_length_c 9.484
_cell_angle_alpha 90.00
_cell_angle_beta 90.00
_cell_angle_gamma 90.00
_symmetry_space_group_name_H-M 'P 4 m m'
_symmetry_Int_Tables_number 99
loop_
_symmetry_equiv_pos_as_xyz
'x,y,z'
'-y,x,z'
'-x,-y,z'
'y,-x,z'
'-x,y,z'
'y,x,z'
'x,-y,z'
'-y,-x,z'
loop_
_atom_site_label
_atom_site_type_symbol
_atom_site_fract_x
_atom_site_fract_y
_atom_site_fract_z
Tl1 Tl 0.000 0.000 0.000
Tl2 Tl 0.500 0.500 0.293
Pb1 Pb 0.500 0.500 0.748
Cl1 Cl 0.000 0.000 0.483

***

No. 7
# LaDy4Te5 | Alexandria via LeMat-Bulk | GGA-PBE | relaxed
# final energy	-5.2478	eV per atom
# calculated volume	30.10	Å³/atom
# total magnetic moment	0.000	μB per formula unit
data_LaDy4Te5
_chemical_formula_sum 'La2 Dy8 Te10'
_cell_length_a 14.627
_cell_length_b 4.390
_cell_length_c 10.787
_cell_angle_alpha 90.00
_cell_angle_beta 119.66
_cell_angle_gamma 90.00
_symmetry_space_group_name_H-M 'C 1 2/m 1'
_symmetry_Int_Tables_number 12
loop_
_symmetry_equiv_pos_as_xyz
'x,y,z'
'-x,-y,-z'
'-x,y,-z'
'x,-y,z'
'x+1/2,y+1/2,z'
'-x+1/2,-y+1/2,-z'
'-x+1/2,y+1/2,-z'
'x+1/2,-y+1/2,z'
loop_
_atom_site_label
_atom_site_type_symbol
_atom_site_fract_x
_atom_site_fract_y
_atom_site_fract_z
La1 La 0.000 0.000 0.000
Dy1 Dy 0.096 0.500 0.394
Dy2 Dy 0.205 0.000 0.797
Te1 Te 0.000 0.000 0.500
Te2 Te 0.108 0.500 0.896
Te3 Te 0.204 0.000 0.312

***

No. 8
# BaZn3Cu | Alexandria via LeMat-Bulk | GGA-PBE | relaxed
# E_form	-0.09	eV/atom
# final energy	-2.0573	eV per atom
# calculated volume	22.76	Å³/atom
# ΔE to the lowest computed polymorph	36.7	meV per atom
# total magnetic moment	0.000	μB per formula unit
data_BaZn3Cu
_chemical_formula_sum 'Ba1 Zn3 Cu1'
_cell_length_a 4.846
_cell_length_b 4.846
_cell_length_c 4.846
_cell_angle_alpha 90.00
_cell_angle_beta 90.00
_cell_angle_gamma 90.00
_symmetry_space_group_name_H-M 'P m -3 m'
_symmetry_Int_Tables_number 221
_symmetry_space_group_name_Hall '-P 4 2 3'
loop_
_atom_site_label
_atom_site_type_symbol
_atom_site_fract_x
_atom_site_fract_y
_atom_site_fract_z
Ba1 Ba 0.000 0.000 0.000
Zn1 Zn 0.000 0.500 0.500
Cu1 Cu 0.500 0.500 0.500

***

Copy entry 8 word for word.
# BaZn3Cu | Alexandria via LeMat-Bulk | GGA-PBE | relaxed
# E_form	-0.09	eV/atom
# final energy	-2.0573	eV per atom
# calculated volume	22.76	Å³/atom
# ΔE to the lowest computed polymorph	36.7	meV per atom
# total magnetic moment	0.000	μB per formula unit
data_BaZn3Cu
_chemical_formula_sum 'Ba1 Zn3 Cu1'
_cell_length_a 4.846
_cell_length_b 4.846
_cell_length_c 4.846
_cell_angle_alpha 90.00
_cell_angle_beta 90.00
_cell_angle_gamma 90.00
_symmetry_space_group_name_H-M 'P m -3 m'
_symmetry_Int_Tables_number 221
_symmetry_space_group_name_Hall '-P 4 2 3'
loop_
_atom_site_label
_atom_site_type_symbol
_atom_site_fract_x
_atom_site_fract_y
_atom_site_fract_z
Ba1 Ba 0.000 0.000 0.000
Zn1 Zn 0.000 0.500 0.500
Cu1 Cu 0.500 0.500 0.500

***

> total magnetic moment of number 8 (BaZn3Cu)?

0.000 μB per formula unit

***

> total magnetic moment of number 1 (CdGaIr)?

0.000 μB per formula unit

***

> The lowest final energy belongs to which entry?

Pm2SmTmS5